1.
VASP calculation (meta-GGA SCAN) on a crystal of TaCuRh2 relaxed with PBEsol.

Summary:
ΔE_f: 0.03 eV per atom

Cell and atoms, written as CIF:
```
data_TaCuRh2
_space_group_name_H-M_alt 'R 3 m'
_space_group_IT_number 160
_space_group_name_Hall 'R 3 -2"'
_cell_length_a 2.7301
_cell_length_b 2.7301
_cell_length_c 26.4070
_cell_angle_alpha 90.00
_cell_angle_beta 90.00
_cell_angle_gamma 120.00
loop_
_atom_site_label
_atom_site_type_symbol
_atom_site_fract_x
_atom_site_fract_y
_atom_site_fract_z
_atom_site_occupancy
Ta1 Ta 0.0000 0.0000 0.0000 1
Cu1 Cu 0.0000 0.0000 0.7522 1
Rh1 Rh 0.0000 0.0000 0.2483 1
Rh2 Rh 0.0000 0.0000 0.4979 1
```

2.
VASP calculation (meta-GGA SCAN) on a crystal of TaCuRh2 relaxed with PBEsol.

Summary:
ΔE_f: -0.48 eV per atom

Cell and atoms, written as CIF:
```
data_TaCuRh2
_space_group_name_H-M_alt 'P m m m'
_space_group_IT_number 47
_cell_length_a 3.108
_cell_length_b 3.231
_cell_length_c 5.609
_cell_angle_alpha 90.00
_cell_angle_beta 90.00
_cell_angle_gamma 90.00
loop_
_space_group_symop_operation_xyz
'x,y,z'
'-x,-y,-z'
'-x,-y,z'
'x,y,-z'
'x,-y,-z'
'-x,y,z'
'-x,y,-z'
'x,-y,z'
loop_
_atom_site_label
_atom_site_type_symbol
_atom_site_fract_x
_atom_site_fract_y
_atom_site_fract_z
_atom_site_occupancy
Ta1 Ta 0.000 0.000 0.000 1
Cu1 Cu 0.000 0.000 0.500 1
Rh1 Rh 0.500 0.500 0.256 1
```

Record order is preserved below.
Energy: -37.298 -37.815 eV/atom